Pm3AgSe4: relaxed, PBE-GGA.

* uncorrected formation energy: -1.47 eV per atom
* space group: P-3m1 (164)
* theoretical density: 6.79 g/cm³
* total magnetic moment: 0.0 μB per cell
* calculated volume: 26.24 A^3/atom
* VASP energy: -42.8 eV per cell

Structure (POSCAR):
```
Pm3AgSe4
1.0
-2.1513 0.5821 -3.5006
1.1414 -3.8289 1.1216
-12.0353 -1.4938 7.1477
Se Ag Pm
4 1 3
Direct
0.3333 0.6667 0.8811
0.3333 0.6667 0.3707
0.6667 0.3333 0.1189
0.6667 0.3333 0.6293
0.0000 0.0000 0.0000
0.0000 0.0000 0.5000
0.0000 0.0000 0.2383
0.0000 0.0000 0.7617
```


TiFe2PtC: relaxed, PBE-GGA.

* space group: P4/mmm (123)
* theoretical density: 10.20 g/cm³
* E_form: -0.303 eV/atom
* total magnetic moment: 2.5 μB per cell
* calculated volume: 11.94 A^3/atom
* VASP energy: -41.6 eV per cell

Structure (POSCAR):
```
TiFe2PtC
1.0
3.7862 0.0000 0.0000
0.0000 3.7862 0.0000
0.0000 0.0000 4.1649
C Fe Pt Ti
1 2 1 1
Direct
0.0000 0.0000 0.0000
0.0000 0.5000 0.0000
0.5000 0.0000 0.0000
0.5000 0.5000 0.5000
0.0000 0.0000 0.5000
```